A relaxed structure of NiPtBr. Source: the Alexandria database, functional PBE-GGA.

## Properties
* energy above the lowest structure with this stoichiometry: 188.9 meV per atom
* total magnetization: 3.01 Bohr magnetons per cell
* formation energy without anion corrections: 0.5156 eV/atom
* energy: -3.9827 eV per atom

Cell lengths 3.0719, 3.0719, 10.7725 Å; angles 90.00, 90.00, 90.00 degrees
Last column: nearest neighbours and their distance in Å.
Space group I4mm (No. 107)
Unique sites:
Ni 0.0000 0.0000 0.0000  4 Pt 2.62, 4 Br 2.74
Pt 0.0000 0.0000 0.6355  4 Ni 2.62
Br 0.0000 0.0000 0.3449  4 Ni 2.74

***

A relaxed structure of Ni2PtBr6. Source: the Alexandria database, functional PBE-GGA.

## Properties
* total magnetization: 11.45 Bohr magnetons per cell
* formation energy without anion corrections: -0.1923 eV/atom
* energy: -3.2635 eV per atom

Cell lengths 14.9748, 3.7514, 9.3466 Å; angles 90.00, 109.43, 90.00 degrees
Last column: nearest neighbours and their distance in Å.
Space group C2/m (No. 12)
Unique sites:
Ni 0.1690 0.0000 0.3393  6 Br 2.55-2.59
Pt 0.0000 0.5000 0.0000  6 Br 2.63-2.70
Br 0.0466 0.5000 0.3045  2 Ni 2.57, 1 Pt 2.70
Br 0.1302 0.0000 0.0482  1 Ni 2.59, 2 Pt 2.63
Br 0.2093 0.0000 0.6263  3 Ni 2.55-2.56

***

A relaxed structure of NiPt3Br. Source: the Alexandria database, functional PBE-GGA.

## Properties
* energy above the lowest structure with this stoichiometry: 0.0 meV per atom
* total magnetization: 1.65 Bohr magnetons per cell
* formation energy without anion corrections: 1.1218 eV/atom
* energy: -3.9936 eV per atom

Cell lengths 4.6422, 4.6422, 4.6422 Å; angles 90.00, 90.00, 90.00 degrees
Last column: nearest neighbours and their distance in Å.
Space group Pm-3m (No. 221)
Unique sites:
Ni 0.0000 0.0000 0.0000  6 Pt 2.32
Pt 0.0000 0.0000 0.5000  2 Ni 2.32
Br 0.5000 0.5000 0.5000  12 Pt 3.28

***

A relaxed structure of NiPtBr. Source: the Alexandria database, functional PBE-GGA.

## Properties
* energy above the lowest structure with this stoichiometry: 161.8 meV per atom
* total magnetization: 1.68 Bohr magnetons per cell
* formation energy without anion corrections: 0.4884 eV/atom
* energy: -4.0099 eV per atom

Cell lengths 3.2534, 5.1004, 12.7745 Å; angles 90.00, 90.00, 90.00 degrees
Last column: nearest neighbours and their distance in Å.
Space group Fmm2 (No. 42)
Unique sites:
Ni 0.0000 0.0000 0.0000  2 Br 2.37, 2 Pt 2.45
Pt 0.0000 0.0000 0.3561  2 Ni 2.45
Br 0.0000 0.0000 0.6348  2 Ni 2.37

***

A relaxed structure of NiPtBr. Source: the Alexandria database, functional PBE-GGA.

## Properties
* energy above the lowest structure with this stoichiometry: 0.0 meV per atom
* total magnetization: 0.00 Bohr magnetons per cell
* formation energy without anion corrections: 0.3267 eV/atom
* energy: -4.1717 eV per atom

Cell lengths 3.3451, 3.3451, 5.3635 Å; angles 90.00, 90.00, 120.00 degrees
Last column: nearest neighbours and their distance in Å.
Space group P3m1 (No. 156)
Unique sites:
Ni 0.0000 0.0000 0.0000  3 Br 2.46, 3 Pt 2.48
Pt 0.6667 0.3333 0.2908  3 Ni 2.48
Br 0.3333 0.6667 0.7150  3 Ni 2.46

***

A relaxed structure of NiPtBr. Source: the Alexandria database, functional PBE-GGA.

## Properties
* energy above the lowest structure with this stoichiometry: 338.2 meV per atom
* total magnetization: 4.63 Bohr magnetons per cell
* formation energy without anion corrections: 0.6649 eV/atom
* energy: -3.8334 eV per atom

Cell lengths 6.0405, 6.0405, 6.0405 Å; angles 90.00, 90.00, 90.00 degrees
Last column: nearest neighbours and their distance in Å.
Space group F-43m (No. 216)
Unique sites:
Ni 0.0000 0.0000 0.0000  4 Pt 2.62, 4 Br 2.62
Pt 0.2500 0.2500 0.2500  4 Ni 2.62
Br 0.2500 0.2500 0.7500  4 Ni 2.62

***

A relaxed structure of Ni4PtBr. Source: the Alexandria database, functional PBE-GGA.

## Properties
* total magnetization: 11.00 Bohr magnetons per cell
* formation energy without anion corrections: 0.4934 eV/atom
* energy: -4.6464 eV per atom

Cell lengths 6.8717, 6.8717, 6.8717 Å; angles 90.00, 90.00, 90.00 degrees
Last column: nearest neighbours and their distance in Å.
Space group F-43m (No. 216)
Unique sites:
Ni 0.1244 0.1244 0.3756  6 Ni 2.42-2.44
Pt 0.2500 0.2500 0.7500  12 Ni 2.85, 4 Br 2.98
Br 0.0000 0.0000 0.0000  12 Ni 2.85, 4 Pt 2.98

***

A relaxed structure of Ni2PtBr8. Source: the Alexandria database, functional PBE-GGA.

## Properties
* total magnetization: 8.00 Bohr magnetons per cell
* formation energy without anion corrections: -0.2093 eV/atom
* energy: -3.0263 eV per atom

Cell lengths 14.0463, 8.4370, 6.2627 Å; angles 90.00, 90.43, 90.00 degrees
Last column: nearest neighbours and their distance in Å.
Space group C2/m (No. 12)
Unique sites:
Ni 0.1745 0.0000 0.4104  4 Br 2.28-2.42
Pt 0.0000 0.0000 0.0000  6 Br 2.52-2.57
Br 0.0757 0.2013 0.2442  1 Ni 2.42, 1 Pt 2.52
Br 0.1552 0.0000 0.7866  1 Ni 2.37, 1 Pt 2.57
Br 0.1632 0.5000 0.5896  1 Ni 2.28

***

A relaxed structure of NiPt4Br. Source: the Alexandria database, functional PBE-GGA.

## Properties
* total magnetization: 4.81 Bohr magnetons per cell
* formation energy without anion corrections: 0.6256 eV/atom
* energy: -4.6439 eV per atom

Cell lengths 7.5326, 7.5326, 7.5326 Å; angles 90.00, 90.00, 90.00 degrees
Last column: nearest neighbours and their distance in Å.
Space group F-43m (No. 216)
Unique sites:
Ni 0.0000 0.0000 0.0000  12 Pt 3.12, 4 Br 3.26
Pt 0.1255 0.1255 0.6255  6 Pt 2.65-2.67
Br 0.2500 0.2500 0.2500  12 Pt 3.12, 4 Ni 3.26

***

A relaxed structure of NiPtBr6. Source: the Alexandria database, functional PBE-GGA.

## Properties
* total magnetization: 2.41 Bohr magnetons per cell
* formation energy without anion corrections: -0.2061 eV/atom
* energy: -2.9385 eV per atom

Cell lengths 6.4184, 11.8985, 6.4180 Å; angles 90.00, 111.23, 90.00 degrees
Last column: nearest neighbours and their distance in Å.
Space group C2/m (No. 12)
Unique sites:
Ni 0.0000 0.0000 0.0000  6 Br 2.45-2.72
Pt 0.0000 0.5000 0.5000  6 Br 2.50-2.58
Br 0.2428 0.5000 0.2559  1 Pt 2.58, 1 Ni 2.72
Br 0.2450 0.1412 0.2460  1 Ni 2.45, 1 Pt 2.50

***

A relaxed structure of Rb2NiPtBr6. Source: the Alexandria database, functional PBE-GGA.

## Properties
* total magnetization: 0.56 Bohr magnetons per cell
* formation energy without anion corrections: -0.7975 eV/atom
* energy: -3.1770 eV per atom

Cell lengths 7.3634, 7.3634, 10.4007 Å; angles 90.00, 90.00, 90.00 degrees
Last column: nearest neighbours and their distance in Å.
Space group I4/mmm (No. 139)
Unique sites:
Rb 0.0000 0.5000 0.2500  12 Br 3.68
Ni 0.0000 0.0000 0.0000  6 Br 2.57-2.58
Pt 0.0000 0.0000 0.5000  6 Br 2.63
Br 0.0000 0.0000 0.2475  1 Ni 2.57, 1 Pt 2.63
Br 0.2474 0.2474 0.0000  1 Ni 2.58, 1 Pt 2.63

***

A relaxed structure of RbNiPtBr6. Source: the Alexandria database, functional PBE-GGA.

## Properties
* total magnetization: 6.07 Bohr magnetons per cell
* formation energy without anion corrections: -0.5610 eV/atom
* energy: -3.0974 eV per atom

Cell lengths 6.8514, 11.3627, 7.8559 Å; angles 90.00, 91.84, 90.00 degrees
Last column: nearest neighbours and their distance in Å.
Space group C2 (No. 5)
Unique sites:
Rb 0.0000 0.0000 0.0000  6 Br 3.46-3.53
Ni 0.0000 0.3333 0.5000  6 Br 2.49-2.61
Pt 0.0000 0.6697 0.5000  4 Br 2.50-2.51
Br 0.1313 0.5056 0.6813  1 Pt 2.50, 1 Ni 2.57
Br 0.1701 0.1932 0.6991  1 Ni 2.49
Br 0.1821 0.8214 0.6737  1 Pt 2.51, 1 Ni 2.61

***

What is the energy in the twelfth record?
-3.0974 eV per atom

***

Which formula does entry 10 have?
NiPtBr6

***

Which of these has the lowest total magnetization?
number 5

***

Which formula does entry 9 have?
NiPt4Br